Material: LaGe2BOs2
Method: DFT, PBE
State: relaxed

a = 4.228 Å, b = 4.228 Å, c = 5.627 Å
α = 90.00°, β = 90.00°, γ = 90.00°
Space group P4/mmm (No. 123)
One atom of each set of equivalent atoms:
1 La 0.000 0.000 0.000 x1
2 Ge 0.500 0.500 0.226 x2
3 B 0.000 0.000 0.500 x1
4 Os 0.000 0.500 0.500 x2



Material: LaGeBPd6
Method: DFT, PBE
State: relaxed

a = 6.883 Å, b = 8.433 Å, c = 11.241 Å
α = 90.00°, β = 90.00°, γ = 90.00°
Space group Imma (No. 74)
One atom of each set of equivalent atoms:
1 La 0.000 0.250 0.181 x4
2 Ge 0.250 0.250 0.750 x4
3 B 0.000 0.000 0.500 x4
4 Pd 0.000 0.250 0.457 x4
5 Pd 0.000 0.250 0.911 x4
6 Pd 0.222 0.013 0.624 x16



Material: La3GeB2Pt9
Method: DFT, PBE
State: relaxed

a = 5.8581 Å, b = 5.8581 Å, c = 9.3343 Å
α = 90.00°, β = 90.00°, γ = 120.00°
Space group P-3m1 (No. 164)
One atom of each set of equivalent atoms:
1 La 0.0000 0.0000 0.0000 x1
2 La 0.3333 0.6667 0.6152 x2
3 Ge 0.0000 0.0000 0.5000 x1
4 B 0.3333 0.6667 0.1492 x2
5 Pt 0.0000 0.5000 0.0000 x3
6 Pt 0.1666 0.3332 0.2898 x6



Material: La2GeBPt6
Method: DFT, PBE
State: relaxed

a = 8.297 Å, b = 8.281 Å, c = 6.816 Å
α = 90.00°, β = 127.43°, γ = 90.00°
Space group Cm (No. 8)
One atom of each set of equivalent atoms:
1 La 0.000 0.249 0.000 x4
2 Ge 0.106 0.000 0.712 x2
3 B 0.103 0.500 0.705 x2
4 Pt 0.001 0.261 0.502 x4
5 Pt 0.240 0.500 0.501 x2
6 Pt 0.262 0.000 0.502 x2
7 Pt 0.300 0.500 0.101 x2
8 Pt 0.324 0.000 0.148 x2



Material: Rb2LaGeB
Method: DFT, PBE
State: relaxed

a = 6.140 Å, b = 6.140 Å, c = 5.062 Å
α = 90.00°, β = 90.00°, γ = 90.00°
Space group P4/mmm (No. 123)
One atom of each set of equivalent atoms:
1 Rb 0.000 0.500 0.000 x2
2 La 0.000 0.000 0.500 x1
3 Ge 0.500 0.500 0.500 x1
4 B 0.000 0.000 0.000 x1



Material: La2GeB3Rh12
Method: DFT, PBE
State: relaxed

a = 7.6788 Å, b = 7.6788 Å, c = 16.7329 Å
α = 90.00°, β = 90.00°, γ = 120.00°
Space group R-3m (No. 166, hexagonal axes)
One atom of each set of equivalent atoms:
1 La 0.0000 0.0000 0.0969 x6
2 Ge 0.0000 0.0000 0.5000 x3
3 B 0.0000 0.5000 0.0000 x9
4 Rh 0.0385 0.5193 0.8754 x18
5 Rh 0.0740 0.5370 0.3095 x18



Material: LaGeBRh3
Method: DFT, PBE
State: relaxed

a = 5.791 Å, b = 12.360 Å, c = 5.825 Å
α = 90.00°, β = 90.00°, γ = 90.00°
Space group Cmcm (No. 63)
One atom of each set of equivalent atoms:
1 La 0.000 0.246 0.250 x4
2 Ge 0.000 0.114 0.750 x4
3 B 0.000 0.477 0.750 x4
4 Rh 0.000 0.309 0.750 x4
5 Rh 0.247 0.500 0.000 x8



Material: La2GeB2Rh5
Method: DFT, PBE
State: relaxed

a = 9.690 Å, b = 9.690 Å, c = 3.298 Å
α = 90.00°, β = 90.00°, γ = 90.00°
Space group P4/mbm (No. 127)
One atom of each set of equivalent atoms:
1 La 0.177 0.323 0.000 x4
2 Ge 0.000 0.000 0.000 x2
3 B 0.120 0.620 0.000 x4
4 Rh 0.000 0.500 0.500 x2
5 Rh 0.069 0.776 0.500 x8



no.,energy of formation from the pure elements (eV/atom)
1,-0.391
2,-0.401
3,-0.822
4,-0.896
5,0.814
6,-0.197
7,-0.724
8,-0.650